# 1
{"formula": "Na3Cr3GaSe8", "functional": "GGA-PBE", "state": "optimized geometry", "lattice": [[-1.680, 7.236, -0.220], [-0.889, -3.831, 6.305], [7.701, 1.720, -2.248]], "species": ["Na", "Na", "Na", "Cr", "Cr", "Cr", "Se", "Se", "Se", "Se", "Se", "Se", "Se", "Se", "Ga"], "frac_coords": [[0.000, 0.500, 0.000], [0.500, 0.500, 0.000], [0.000, 0.000, 0.000], [0.000, 0.500, 0.500], [0.500, 0.000, 0.500], [0.500, 0.500, 0.500], [0.239, 0.963, 0.702], [0.733, 0.466, 0.699], [0.276, 0.037, 0.298], [0.239, 0.477, 0.702], [0.267, 0.534, 0.301], [0.724, 0.963, 0.702], [0.761, 0.037, 0.298], [0.761, 0.523, 0.298], [0.000, 0.000, 0.500]], "formation_energy_uncorrected_ev_per_atom": -0.707, "dft_energy_ev_per_atom": -4.9561, "sg": "R-3m, No. 166"}

# 2
{"formula": "Na2Cr2GaSe6", "functional": "GGA-PBE", "state": "optimized geometry", "lattice": [[6.405, -0.056, 0.061], [-3.214, 5.540, 0.061], [-1.134, -1.949, 7.114]], "species": ["Na", "Na", "Cr", "Cr", "Se", "Se", "Se", "Se", "Se", "Se", "Ga"], "frac_coords": [[0.163, 0.837, 0.000], [0.837, 0.163, 0.000], [0.331, 0.669, 0.500], [0.669, 0.331, 0.500], [0.725, 0.725, 0.696], [0.414, 0.068, 0.702], [0.586, 0.932, 0.298], [0.068, 0.414, 0.702], [0.932, 0.586, 0.298], [0.275, 0.275, 0.304], [0.000, 0.000, 0.500]], "formation_energy_uncorrected_ev_per_atom": -0.678, "dft_energy_ev_per_atom": -4.8429, "sg": "C2/m, No. 12"}

# 3
{"formula": "Na2CrGaSn", "functional": "GGA-PBE", "state": "optimized geometry", "lattice": [[5.604, 0.000, 0.000], [0.000, 5.131, 0.000], [0.000, 0.000, 5.604]], "species": ["Na", "Na", "Sn", "Ga", "Cr"], "frac_coords": [[0.500, 0.000, 0.000], [0.000, 0.000, 0.500], [0.000, 0.500, 0.000], [0.500, 0.500, 0.500], [0.000, 0.000, 0.000]], "formation_enthalpy_0k_ev_per_atom": 0.59, "dft_energy_ev_per_atom": -3.2713, "sg": "P4/mmm, No. 123"}

# 4
{"formula": "NaCrGaTe3", "functional": "GGA-PBE", "state": "optimized geometry", "lattice": [[-2.228, 0.425, -3.160], [3.434, -7.078, -3.373], [-8.401, -3.019, 5.516]], "species": ["Na", "Na", "Te", "Te", "Te", "Te", "Te", "Te", "Cr", "Cr", "Ga", "Ga"], "frac_coords": [[0.750, 0.763, 0.717], [0.250, 0.237, 0.283], [0.750, 0.349, 0.573], [0.250, 0.651, 0.427], [0.750, 0.412, 0.110], [0.250, 0.114, 0.821], [0.250, 0.588, 0.890], [0.750, 0.886, 0.179], [0.750, 0.351, 0.840], [0.250, 0.649, 0.160], [0.750, 0.890, 0.436], [0.250, 0.110, 0.564]], "formation_energy_uncorrected_ev_per_atom": -0.371, "dft_energy_ev_per_atom": -4.2704, "sg": "P2_1/m, No. 11"}

# 5
{"formula": "Na2CrGaTe4", "functional": "GGA-PBE", "state": "optimized geometry", "lattice": [[8.478, -0.003, -0.040], [-0.009, 8.478, -0.040], [-4.184, -4.186, 6.032]], "species": ["Te", "Te", "Te", "Te", "Te", "Te", "Te", "Te", "Cr", "Cr", "Na", "Na", "Na", "Na", "Ga", "Ga"], "frac_coords": [[0.227, 0.707, 0.467], [0.768, 0.732, 0.519], [0.232, 0.268, 0.019], [0.232, 0.268, 0.481], [0.207, 0.727, 0.967], [0.793, 0.273, 0.033], [0.768, 0.732, 0.981], [0.773, 0.293, 0.533], [0.000, 0.500, 0.500], [0.000, 0.500, 0.000], [0.500, 0.500, 0.000], [0.500, 0.000, 0.500], [0.500, 0.000, 0.000], [0.000, 0.000, 0.500], [0.000, 0.000, 0.000], [0.500, 0.500, 0.500]], "formation_energy_uncorrected_ev_per_atom": -0.447, "dft_energy_ev_per_atom": -3.9290, "sg": "Imma, No. 74"}

# 6
{"formula": "Na2TiCrGa", "functional": "GGA-PBE", "state": "optimized geometry", "lattice": [[-2.955, 2.688, -3.165], [2.163, -2.157, -3.851], [-3.494, -3.707, 0.114]], "species": ["Na", "Na", "Cr", "Ti", "Ga"], "frac_coords": [[0.000, 0.000, 0.500], [0.500, 0.000, 0.000], [0.000, 0.000, 0.000], [0.500, 0.500, 0.500], [0.000, 0.500, 0.000]], "formation_enthalpy_0k_ev_per_atom": 1.20, "dft_energy_ev_per_atom": -3.4348, "sg": "P4/mmm, No. 123"}

# 7
{"formula": "NaTl2CrGa", "functional": "GGA-PBE", "state": "optimized geometry", "lattice": [[-4.192, -0.851, -3.218], [3.103, -1.757, -3.577], [-0.517, -4.946, 1.981]], "species": ["Na", "Tl", "Tl", "Cr", "Ga"], "frac_coords": [[0.000, 0.000, 0.000], [0.500, 0.000, 0.000], [0.000, 0.000, 0.500], [0.500, 0.500, 0.500], [0.000, 0.500, 0.000]], "formation_enthalpy_0k_ev_per_atom": 1.41, "dft_energy_ev_per_atom": -2.3254, "sg": "P4/mmm, No. 123"}

# 8
{"formula": "Nb2CrGa", "functional": "GGA-PBE", "state": "optimized geometry", "lattice": [[-2.962, 1.195, -0.556], [0.388, -0.516, -3.177], [-2.344, -5.524, 0.611]], "species": ["Nb", "Nb", "Ga", "Cr"], "frac_coords": [[0.000, 0.000, 0.237], [0.000, 0.000, 0.763], [0.500, 0.500, 0.500], [0.500, 0.500, 0.000]], "formation_enthalpy_0k_ev_per_atom": -0.08, "dft_energy_ev_per_atom": -8.2783, "sg": "P4/mmm, No. 123"}

# 9
{"formula": "Nb2Cr2Ga", "functional": "GGA-PBE", "state": "optimized geometry", "lattice": [[-3.784, -3.522, -4.312], [0.951, -5.546, 3.695], [-2.791, 0.747, 1.839]], "species": ["Cr", "Cr", "Cr", "Cr", "Ga", "Ga", "Nb", "Nb", "Nb", "Nb"], "frac_coords": [[0.108, 0.392, 0.000], [0.892, 0.608, 0.000], [0.608, 0.108, 0.000], [0.392, 0.892, 0.000], [0.000, 0.000, 0.000], [0.500, 0.500, 0.000], [0.308, 0.192, 0.500], [0.192, 0.692, 0.500], [0.808, 0.308, 0.500], [0.692, 0.808, 0.500]], "formation_enthalpy_0k_ev_per_atom": 0.12, "dft_energy_ev_per_atom": -8.3658, "sg": "P4/mbm, No. 127"}

# 10
{"formula": "Nb2CrGa", "functional": "GGA-PBE", "state": "optimized geometry", "lattice": [[3.041, 0.000, 0.000], [1.520, 2.633, 0.000], [1.520, 0.878, 8.308]], "species": ["Cr", "Ga", "Nb", "Nb"], "frac_coords": [[0.000, 0.000, 0.000], [0.500, 0.500, 0.500], [0.743, 0.743, 0.772], [0.257, 0.257, 0.228]], "formation_enthalpy_0k_ev_per_atom": 0.14, "dft_energy_ev_per_atom": -8.0569, "sg": "R-3m, No. 166"}

# 11
{"formula": "Nb2CrGa", "functional": "GGA-PBE", "state": "optimized geometry", "lattice": [[7.089, 0.000, 0.000], [0.000, 7.089, 0.000], [3.544, 3.544, 2.705]], "species": ["Nb", "Nb", "Nb", "Nb", "Ga", "Ga", "Cr", "Cr"], "frac_coords": [[0.875, 0.843, 0.750], [0.375, 0.407, 0.750], [0.157, 0.625, 0.250], [0.593, 0.125, 0.250], [0.000, 0.000, 0.000], [0.750, 0.250, 0.500], [0.250, 0.750, 0.500], [0.500, 0.500, 0.000]], "formation_enthalpy_0k_ev_per_atom": 0.43, "dft_energy_ev_per_atom": -7.7642, "sg": "I-42d, No. 122"}

# 12
{"formula": "NbCr2Ga2", "functional": "GGA-PBE", "state": "optimized geometry", "lattice": [[6.982, 0.000, 0.000], [0.000, 6.982, 0.000], [0.000, 0.000, 3.005]], "species": ["Ga", "Ga", "Ga", "Ga", "Cr", "Cr", "Cr", "Cr", "Nb", "Nb"], "frac_coords": [[0.627, 0.127, 0.000], [0.373, 0.873, 0.000], [0.127, 0.373, 0.000], [0.873, 0.627, 0.000], [0.328, 0.172, 0.500], [0.828, 0.328, 0.500], [0.672, 0.828, 0.500], [0.172, 0.672, 0.500], [0.000, 0.000, 0.000], [0.500, 0.500, 0.000]], "polymorph_energy_ev_per_fu": 0.00, "formation_enthalpy_0k_ev_per_atom": 0.05, "dft_energy_ev_per_atom": -7.0243, "sg": "P4/mbm, No. 127"}

# 13
{"formula": "NbCr2Ga2", "functional": "GGA-PBE", "state": "optimized geometry", "lattice": [[7.178, 0.000, 0.000], [0.000, 7.178, 0.000], [0.000, 0.000, 2.824]], "species": ["Ga", "Ga", "Ga", "Ga", "Cr", "Cr", "Cr", "Cr", "Nb", "Nb"], "frac_coords": [[0.313, 0.187, 0.500], [0.813, 0.313, 0.500], [0.187, 0.687, 0.500], [0.687, 0.813, 0.500], [0.605, 0.105, 0.000], [0.395, 0.895, 0.000], [0.895, 0.605, 0.000], [0.105, 0.395, 0.000], [0.500, 0.500, 0.000], [0.000, 0.000, 0.000]], "polymorph_energy_ev_per_fu": 0.41, "formation_enthalpy_0k_ev_per_atom": 0.13, "dft_energy_ev_per_atom": -6.9416, "sg": "P4/mbm, No. 127"}

# 14
{"formula": "NbCr3Ga", "functional": "GGA-PBE", "state": "optimized geometry", "lattice": [[-0.064, 4.563, -1.210], [0.067, -1.209, -4.564], [-4.721, -0.079, -0.048]], "species": ["Nb", "Cr", "Cr", "Cr", "Ga"], "frac_coords": [[0.000, 0.000, 0.000], [0.500, 0.000, 0.000], [0.000, 0.500, 0.000], [0.000, 0.000, 0.500], [0.500, 0.500, 0.500]], "polymorph_energy_ev_per_fu": 1.23, "formation_enthalpy_0k_ev_per_atom": 1.52, "dft_energy_ev_per_atom": -6.8688, "sg": "Pm-3m, No. 221"}

# 15
{"formula": "NbCr3Ga", "functional": "GGA-PBE", "state": "optimized geometry", "lattice": [[-3.329, 0.958, -2.856], [1.816, -2.758, -3.042], [-2.403, -3.411, 1.657]], "species": ["Nb", "Cr", "Cr", "Cr", "Ga"], "frac_coords": [[0.500, 0.500, 0.500], [0.000, 0.500, 0.000], [0.500, 0.000, 0.000], [0.000, 0.000, 0.500], [0.000, 0.000, 0.000]], "polymorph_energy_ev_per_fu": 0.00, "formation_enthalpy_0k_ev_per_atom": 1.28, "dft_energy_ev_per_atom": -7.1149, "sg": "Pm-3m, No. 221"}

# 16
{"formula": "Nb6CrGa3", "functional": "GGA-PBE", "state": "optimized geometry", "lattice": [[5.024, 0.000, 0.037], [0.000, 7.603, 0.000], [0.067, 0.000, 9.189]], "species": ["Nb", "Nb", "Nb", "Nb", "Nb", "Nb", "Nb", "Nb", "Nb", "Nb", "Nb", "Nb", "Ga", "Ga", "Ga", "Ga", "Ga", "Ga", "Cr", "Cr"], "frac_coords": [[0.932, 0.663, 0.562], [0.937, 0.684, 0.932], [0.148, 0.057, 0.759], [0.568, 0.163, 0.938], [0.063, 0.316, 0.068], [0.352, 0.557, 0.741], [0.068, 0.337, 0.438], [0.437, 0.816, 0.432], [0.852, 0.943, 0.241], [0.648, 0.443, 0.259], [0.432, 0.837, 0.062], [0.563, 0.184, 0.568], [0.371, 0.119, 0.255], [0.629, 0.881, 0.745], [0.000, 0.000, 0.500], [0.129, 0.619, 0.245], [0.871, 0.381, 0.755], [0.500, 0.500, 0.000], [0.000, 0.000, 0.000], [0.500, 0.500, 0.500]], "formation_enthalpy_0k_ev_per_atom": 0.03, "dft_energy_ev_per_atom": -7.8847, "sg": "P2_1/c, No. 14"}